The following is a DFT calculation (GGA-PBE) of a relaxed Ti4CdN crystal.

Values from the calculation:
Uncorrected formation energy (eV per atom): -0.594
Crystal system: orthorhombic

Lattice parameters (Å, degrees): 4.4022 14.3897 5.9039 90.00 90.00 90.00
Last column: nearest neighbours and their distance in Å.
Space group Cmcm (No. 63)
Unique sites:
1 Ti 0.0000 0.0033 0.2500  2 N 2.20
2 Ti 0.0000 0.1890 0.7500  4 Cd 2.71-2.96, 5 Ti 2.77-2.92
3 Ti 0.0000 0.4022 0.0129  2 N 2.03-2.06
4 Cd 0.0000 0.2007 0.2500  5 Ti 2.71-2.96
5 N 0.0000 0.4926 0.7500  6 Ti 2.03-2.20